DFT (PBE-GGA) results for a geometry-optimized BeBiF structure.

Unit cell a=12.2861 b=4.0103 c=4.0103 alpha=41.93 beta=90.00 gamma=90.00
Fractional positions:
Be 0.0000 0.0000 0.0000
Be 0.5000 0.4766 0.4766
Bi 0.1402 0.7208 0.7208
Bi 0.8598 0.7208 0.7208
F 0.4123 0.9766 0.9766
F 0.5877 0.9766 0.9766

D(E_F) ... 0.2076 states/eV/atom
Formation energy without anion corrections ... -909.8 meV/atom
Space group ... Amm2
Total magnetic moment ... 0.0 μB/f.u.
E ... -0.150 Ha/atom

---

DFT (PBE-GGA) results for a geometry-optimized V3TeAs structure.

Unit cell a=5.0562 b=5.0562 c=5.0562 alpha=90.00 beta=90.00 gamma=90.00
Fractional positions:
V 0.0000 0.0000 0.5000
V 0.0000 0.5000 0.0000
V 0.5000 0.0000 0.0000
Te 0.0000 0.0000 0.0000
As 0.5000 0.5000 0.5000

D(E_F) ... 1.3926 states/eV/atom
Offset from the most stable computed form ... 0.6602 eV per atom
Formation energy without anion corrections ... 1182.1 meV/atom
Space group ... Pm-3m
Total magnetic moment ... 9.9 μB/f.u.
E ... -0.215 Ha/atom

---

DFT (PBE-GGA) results for a geometry-optimized Ru2C3 structure.

Unit cell a=3.2467 b=3.2467 c=5.5366 alpha=90.00 beta=90.00 gamma=120.00
Fractional positions:
Ru 0.3333 0.6667 0.2511
Ru 0.6667 0.3333 0.7489
C 0.0000 0.0000 0.5000
C 0.3333 0.6667 0.8876
C 0.6667 0.3333 0.1124

D(E_F) ... 0.6848 states/eV/atom
Offset from the most stable computed form ... 0.5950 eV per atom
Space group ... P-3m1
Total magnetic moment ... 0.0 μB/f.u.
E ... -0.290 Ha/atom

---

DFT (PBE-GGA) results for a geometry-optimized BaUNb2O8 structure.

Unit cell a=6.0814 b=6.0814 c=7.5522 alpha=90.00 beta=90.00 gamma=120.00
Fractional positions:
Ba 0.0000 0.0000 0.0000
U 0.0000 0.0000 0.5000
Nb 0.3333 0.6667 0.7680
Nb 0.6667 0.3333 0.2320
O 0.1596 0.8385 0.6929
O 0.1615 0.3211 0.6929
O 0.3211 0.1596 0.3071
O 0.3333 0.6667 0.0068
O 0.6667 0.3333 0.9932
O 0.6789 0.8404 0.6929
O 0.8385 0.6789 0.3071
O 0.8404 0.1615 0.3071

D(E_F) ... 0.4430 states/eV/atom
Formation energy without anion corrections ... -2783.7 meV/atom
Space group ... P-3
Total magnetic moment ... 2.0 μB/f.u.
E ... -0.326 Ha/atom